LaEr2In3AgPt2: optimized geometry, PBE.

abc: 3.8241 7.9054 7.9054
angles: 120.31 90.00 90.00
Fractional positions:
La 0.0000 0.0000 0.0000
Er 0.0000 0.1765 0.5878
Er 0.0000 0.5878 0.1765
In 0.5000 0.3267 0.3267
In 0.5000 0.5821 0.8536
In 0.5000 0.8536 0.5821
Ag 0.0000 0.5861 0.5861
Pt 0.5000 0.2599 0.9180
Pt 0.5000 0.9180 0.2599

Properties
**Total magnetization**: 0.00 μB/cell
**Calculated total energy**: -4.94 eV per atom